(1)
This record from Alexandria via LeMat-Bulk describes an optimized crystal structure of VCu12SnAs2S16. The functional is PBE-GGA.

```
VCu12SnAs2S16
1.0
9.207 0.019 0.000
-3.064 8.682 0.000
-3.071 -4.350 7.510
Cu S Sn As V
12 16 1 2 1
Cartesian
-3.066 5.427 1.920
6.181 2.169 0.000
-3.033 5.398 5.635
6.140 -1.072 1.920
6.101 -1.051 5.635
-0.034 3.281 1.876
3.065 4.341 3.799
0.004 3.259 5.591
-0.007 -0.009 3.711
3.103 1.066 1.876
3.069 1.095 5.591
-0.026 6.551 0.000
5.352 1.110 5.653
-3.850 4.349 3.778
-0.714 2.097 0.000
5.389 1.083 1.857
5.392 7.638 1.793
2.260 6.671 0.000
2.215 0.029 0.000
5.530 4.363 0.000
2.321 3.287 5.717
-0.783 5.441 1.857
-0.824 -1.167 5.509
2.248 3.184 2.001
-0.749 2.159 3.732
5.387 -2.172 3.778
-0.746 5.415 5.653
2.285 0.017 3.732
3.071 4.350 0.000
-3.068 2.166 3.755
3.068 -2.166 3.755
0.000 0.000 0.000
```

## Properties
Its space group is I-42m. The crystal system is tetragonal. As for the total energy: -0.338 Ry/atom. The energy relative to the elements, uncorrected comes out at -0.30 eV/atom. Its density of states at the Fermi level is 14.872 states/eV per cell. The calculation puts the total moment at 0.000 μB/atom.

***

(2)
This record from Alexandria via LeMat-Bulk describes an optimized crystal structure of LaSm8Dy2. The functional is PBE-GGA.

```
LaSm8Dy2
1.0
5.566 -0.744 -0.520
1.003 9.958 2.645
1.003 5.910 8.439
Sm Dy La
8 2 1
Cartesian
2.424 8.472 5.918
5.341 10.452 5.303
2.231 6.548 2.576
5.341 8.576 7.989
5.900 12.299 8.591
5.148 6.653 4.647
1.672 2.825 1.973
2.231 4.672 5.262
4.731 3.962 2.768
2.842 11.162 7.797
0.000 0.000 0.000
```

## Properties
Its space group is C2/m. The crystal system is monoclinic. As for the total energy: -0.337 Ry/atom. Its density of states at the Fermi level is 17.239 states/eV per cell. For the calculated formation energy, the calculation gives 1.5 eV/f.u. The calculation puts the total moment at 0.000 μB/atom.

***

(3)
This record from Alexandria via LeMat-Bulk describes an optimized crystal structure of K2TlCdF6. The functional is PBE-GGA.

```
K2TlCdF6
1.0
-6.092 -0.783 2.278
-0.019 -6.095 -2.148
3.380 -2.851 8.059
F Tl K Cd
12 2 4 2
Cartesian
-1.602 -0.250 0.583
0.330 -4.517 3.506
-2.230 -2.429 2.621
-0.491 -3.896 6.767
0.854 -5.483 0.399
-4.491 -0.622 1.663
-2.978 -8.073 3.635
2.495 -6.867 4.312
-3.061 -4.953 4.774
-1.706 -3.395 -0.486
-4.407 -3.742 0.524
0.226 -7.661 2.437
-0.015 -4.585 -1.616
-1.361 -3.327 4.637
-0.426 -7.385 5.743
0.942 -2.123 1.788
-2.317 -5.789 1.232
2.430 -3.378 5.337
-3.051 -1.974 0.581
1.675 -5.938 2.439
```

## Properties
Its space group is Pmmn. The crystal system is orthorhombic. As for the total energy: -0.290 Ry/atom. The energy relative to the elements, uncorrected comes out at -2.27 eV/atom. Its density of states at the Fermi level is 4.744 states/eV per cell. The calculation puts the total moment at 0.000 μB/atom.